1.
This record from Alexandria describes a relaxed NaP2H crystal. The functional is PBE.

Cell and atoms, written as CIF:
```
data_NaP2H
_cell_length_a 4.6742
_cell_length_b 5.8473
_cell_length_c 10.8786
_cell_angle_alpha 90.00
_cell_angle_beta 97.65
_cell_angle_gamma 90.00
_symmetry_space_group_name_H-M 'P 1 21/c 1'
_symmetry_Int_Tables_number 14
loop_
_symmetry_equiv_pos_as_xyz
'x,y,z'
'-x,-y,-z'
'-x,y+1/2,-z+1/2'
'x,-y+1/2,z+1/2'
loop_
_atom_site_label
_atom_site_type_symbol
_atom_site_fract_x
_atom_site_fract_y
_atom_site_fract_z
Na1 Na 0.0440 0.0189 0.3245
P1 P 0.1642 0.1143 0.0474
P2 P 0.4571 0.6217 0.6492
H1 H 0.3544 0.6736 0.0833
```

Its excess energy over the best structure of this formula in the dataset is 0.0 meV/atom. The total moment comes out at 0.0 μB/cell. As for the volume: 18.4 Å³ per atom.

***

2.
This record from Alexandria describes a relaxed GdMgSiHg crystal. The functional is PBE.

Cell and atoms, written as CIF:
```
data_GdMgSiHg
_cell_length_a 7.0761
_cell_length_b 7.0761
_cell_length_c 7.0761
_cell_angle_alpha 90.00
_cell_angle_beta 90.00
_cell_angle_gamma 90.00
_symmetry_space_group_name_H-M 'F -4 3 m'
_symmetry_Int_Tables_number 216
_symmetry_space_group_name_Hall 'F -4 2 3'
loop_
_atom_site_label
_atom_site_type_symbol
_atom_site_fract_x
_atom_site_fract_y
_atom_site_fract_z
Gd1 Gd 0.0000 0.0000 0.0000
Mg1 Mg 0.0000 0.0000 0.5000
Si1 Si 0.2500 0.2500 0.2500
Hg1 Hg 0.2500 0.2500 0.7500
```

The total moment comes out at 27.6 μB/cell. As for the volume: 22.1 Å³ per atom. The value obtained for the electronic total energy is -90.5 eV/cell. Its density of states at the Fermi level is 13.5 states/eV per cell.

***

3.
This record from Alexandria describes a relaxed AcTm4Pb5 crystal. The functional is PBE.

Cell and atoms, written as CIF:
```
data_AcTm4Pb5
_cell_length_a 10.0379
_cell_length_b 10.0379
_cell_length_c 6.3964
_cell_angle_alpha 90.00
_cell_angle_beta 90.00
_cell_angle_gamma 90.00
_symmetry_space_group_name_H-M 'I 4/m'
_symmetry_Int_Tables_number 87
_symmetry_space_group_name_Hall '-I 4'
loop_
_atom_site_label
_atom_site_type_symbol
_atom_site_fract_x
_atom_site_fract_y
_atom_site_fract_z
Ac1 Ac 0.0000 0.0000 0.0000
Tm1 Tm 0.1162 0.7159 0.5000
Pb1 Pb 0.0000 0.0000 0.5000
Pb2 Pb 0.0911 0.6704 0.0000
```

The total moment comes out at 0.0 μB/cell. As for the volume: 32.2 Å³ per atom. The value obtained for the formation energy is -263 meV/atom. Its density of states at the Fermi level is 19.2 states/eV per cell.

***

4.
This record from Alexandria describes a relaxed Ba4AsCl3 crystal. The functional is PBE.

Cell and atoms, written as CIF:
```
data_Ba4AsCl3
_cell_length_a 9.2005
_cell_length_b 13.0780
_cell_length_c 4.6765
_cell_angle_alpha 90.00
_cell_angle_beta 90.00
_cell_angle_gamma 90.00
_symmetry_space_group_name_H-M 'C m m m'
_symmetry_Int_Tables_number 65
_symmetry_space_group_name_Hall '-C 2 2'
loop_
_atom_site_label
_atom_site_type_symbol
_atom_site_fract_x
_atom_site_fract_y
_atom_site_fract_z
Ba1 Ba 0.0000 0.2436 0.0000
Ba2 Ba 0.2393 0.0000 0.5000
As1 As 0.0000 0.0000 0.0000
Cl1 Cl 0.0000 0.5000 0.0000
Cl2 Cl 0.2500 0.2500 0.5000
```

The total moment comes out at 0.0 μB/cell. As for the volume: 35.2 Å³ per atom. The value obtained for the electronic total energy is -63.7 eV/cell. Its density of states at the Fermi level is 7.2 states/eV per cell.

***

5.
This record from Alexandria describes a relaxed LaThCdPb crystal. The functional is PBE.

Cell and atoms, written as CIF:
```
data_LaThCdPb
_cell_length_a 7.8641
_cell_length_b 7.8641
_cell_length_c 7.8641
_cell_angle_alpha 90.00
_cell_angle_beta 90.00
_cell_angle_gamma 90.00
_symmetry_space_group_name_H-M 'F -4 3 m'
_symmetry_Int_Tables_number 216
_symmetry_space_group_name_Hall 'F -4 2 3'
loop_
_atom_site_label
_atom_site_type_symbol
_atom_site_fract_x
_atom_site_fract_y
_atom_site_fract_z
La1 La 0.0000 0.0000 0.0000
Th1 Th 0.0000 0.0000 0.5000
Cd1 Cd 0.2500 0.2500 0.7500
Pb1 Pb 0.2500 0.2500 0.2500
```

The total moment comes out at 0.0 μB/cell. As for the volume: 30.4 Å³ per atom. The value obtained for the formation energy is -266 meV/atom. Its density of states at the Fermi level is 13.6 states/eV per cell.

***

6.
This record from Alexandria describes a relaxed ZnBi3S6 crystal. The functional is PBE.

Cell and atoms, written as CIF:
```
data_ZnBi3S6
_cell_length_a 11.5285
_cell_length_b 14.2115
_cell_length_c 6.2756
_cell_angle_alpha 90.00
_cell_angle_beta 90.00
_cell_angle_gamma 90.00
_symmetry_space_group_name_H-M 'C m c 21'
_symmetry_Int_Tables_number 36
loop_
_symmetry_equiv_pos_as_xyz
'x,y,z'
'-x,-y,z+1/2'
'-x,y,z'
'x,-y,z+1/2'
'x+1/2,y+1/2,z'
'-x+1/2,-y+1/2,z+1/2'
'-x+1/2,y+1/2,z'
'x+1/2,-y+1/2,z+1/2'
loop_
_atom_site_label
_atom_site_type_symbol
_atom_site_fract_x
_atom_site_fract_y
_atom_site_fract_z
Zn1 Zn 0.0000 0.2002 0.0000
Bi1 Bi 0.0000 0.3889 0.4027
Bi2 Bi 0.1736 0.1179 0.4259
S1 S 0.0000 0.0501 0.1563
S2 S 0.0000 0.2186 0.6380
S3 S 0.1603 0.4826 0.6727
S4 S 0.1621 0.2696 0.1715
```

The total moment comes out at 0.0 μB/cell. As for the volume: 25.7 Å³ per atom. The value obtained for the electronic total energy is -162.5 eV/cell. Its density of states at the Fermi level is 11.2 states/eV per cell.